A relaxed AsIBr4 crystal, computed with PBE.

```
data_AsIBr4
_cell_length_a 9.7536
_cell_length_b 9.7536
_cell_length_c 7.5205
_cell_angle_alpha 100.65
_cell_angle_beta 100.65
_cell_angle_gamma 43.85
_symmetry_space_group_name_H-M 'P 1'
_symmetry_Int_Tables_number 1
_symmetry_space_group_name_Hall 'P 1'
loop_
_atom_site_label
_atom_site_fract_x
_atom_site_fract_y
_atom_site_fract_z
As1 0.0500 0.0500 0.2928
As2 0.9500 0.9500 0.7072
I1 0.2221 0.2221 0.0108
I2 0.7779 0.7779 0.9892
Br1 0.1568 0.6799 0.9688
Br2 0.1714 0.1714 0.4726
Br3 0.2543 0.7457 0.5000
Br4 0.3201 0.8432 0.0312
Br5 0.6799 0.1568 0.9688
Br6 0.7457 0.2543 0.5000
Br7 0.8286 0.8286 0.5274
Br8 0.8432 0.3201 0.0312
```

Output
The value obtained for the density of states at the Fermi level is 0.266 states/eV/atom. Its space group is C2/m. The value obtained for the calculated total energy is -2.245 eV/atom. The uncorrected formation energy comes out at -0.097 eV per atom. For the calculated volume, the calculation gives 40.48 Å³/atom.